[1]
Here is an optimized crystal structure of TlCuWAu from the Open Quantum Materials Database. Energies are from PBE.

Properties
* total magnetization: 2.05 μB per formula unit
* energy above the lowest structure with this stoichiometry: 62 meV/atom
* crystal system: cubic

abc: 4.6371 4.6371 4.6371
angles: 60.00 60.00 60.00
Closest atoms and distances in Å follow each position.
Fractional positions:
Au 0.2500 0.2500 0.2500  4 Tl 2.84, 4 W 2.84
Cu 0.7500 0.7500 0.7500  4 W 2.84, 4 Tl 2.84
Tl 0.0000 0.0000 0.0000  4 Au 2.84, 4 Cu 2.84
W 0.5000 0.5000 0.5000  4 Cu 2.84, 4 Au 2.84

---

[2]
Here is an optimized crystal structure of PmNpIn from the Open Quantum Materials Database. Energies are from PBE.

Properties
* total magnetization: 5.24 μB per formula unit
* energy above the lowest structure with this stoichiometry: 0 meV/atom
* crystal system: cubic

abc: 5.2457 5.2457 5.2457
angles: 60.00 60.00 60.00
Closest atoms and distances in Å follow each position.
Fractional positions:
In 0.0000 0.0000 0.0000  4 Pm 3.21, 4 Np 3.21
Np 0.2500 0.2500 0.2500  4 In 3.21
Pm 0.7500 0.7500 0.7500  4 In 3.21

---

[3]
Here is an optimized crystal structure of LiAgSnSe3 from the Open Quantum Materials Database. Energies are from PBE.

Properties
* energy above the lowest structure with this stoichiometry: 0 meV/atom
* crystal system: orthorhombic

abc: 3.8978 12.1921 12.5391
angles: 90.00 90.00 90.00
Closest atoms and distances in Å follow each position.
Fractional positions:
Ag 0.7500 0.7758 0.1831  4 Se 2.57-2.84
Ag 0.7500 0.2758 0.3169  4 Se 2.57-2.84
Ag 0.2500 0.7242 0.6831  4 Se 2.57-2.84
Ag 0.2500 0.2242 0.8169  4 Se 2.57-2.84
Li 0.7500 0.2015 0.0296  2 Se 2.57
Li 0.7500 0.7015 0.4704  2 Se 2.57
Li 0.2500 0.2985 0.5296  2 Se 2.57
Li 0.2500 0.7985 0.9704  2 Se 2.57
Se 0.7500 0.9701 0.1037  1 Ag 2.57, 2 Sn 2.76
Se 0.7500 0.5685 0.1150  1 Ag 2.67, 2 Sn 2.72
Se 0.2500 0.2531 0.1533  2 Li 2.57, 1 Sn 2.60, 2 Ag 2.84
Se 0.2500 0.7531 0.3467  2 Li 2.57, 1 Sn 2.60, 2 Ag 2.84
Se 0.7500 0.0685 0.3850  1 Ag 2.67, 2 Sn 2.72
Se 0.7500 0.4701 0.3963  1 Ag 2.57, 2 Sn 2.76
Se 0.2500 0.5299 0.6037  1 Ag 2.57, 2 Sn 2.76
Se 0.2500 0.9315 0.6150  1 Ag 2.67, 2 Sn 2.72
Se 0.7500 0.2469 0.6533  2 Li 2.57, 1 Sn 2.60, 2 Ag 2.84
Se 0.7500 0.7469 0.8467  2 Li 2.57, 1 Sn 2.60, 2 Ag 2.84
Se 0.2500 0.4315 0.8850  1 Ag 2.67, 2 Sn 2.72
Se 0.2500 0.0299 0.8963  1 Ag 2.57, 2 Sn 2.76
Sn 0.2500 0.0569 0.2343  5 Se 2.60-2.76
Sn 0.2500 0.5569 0.2657  5 Se 2.60-2.76
Sn 0.7500 0.4431 0.7343  5 Se 2.60-2.76
Sn 0.7500 0.9431 0.7657  5 Se 2.60-2.76

---

[4]
Here is an optimized crystal structure of PrGa2CuPt from the Open Quantum Materials Database. Energies are from PBE.

Properties
* total magnetization: 0.01 μB per formula unit
* energy above the lowest structure with this stoichiometry: 33 meV/atom
* crystal system: tetragonal

abc: 4.2069 4.2069 10.5437
angles: 90.00 90.00 90.00
Closest atoms and distances in Å follow each position.
Fractional positions:
Cu 0.0000 0.5000 0.3713  5 Ga 2.44-2.50
Cu 0.5000 0.0000 0.6287  5 Ga 2.44-2.50
Ga 0.0000 0.5000 0.1403  1 Cu 2.44, 4 Pt 2.57
Ga 0.0000 0.0000 0.5000  4 Cu 2.50
Ga 0.5000 0.5000 0.5000  4 Cu 2.50
Ga 0.5000 0.0000 0.8597  1 Cu 2.44, 4 Pt 2.57
Pr 0.5000 0.0000 0.2543  8 Ga 3.21-3.34, 4 Cu 3.22, 4 Pt 3.41
Pr 0.0000 0.5000 0.7457  8 Ga 3.21-3.34, 4 Cu 3.22, 4 Pt 3.41
Pt 0.0000 0.0000 0.0000  4 Ga 2.57
Pt 0.5000 0.5000 0.0000  4 Ga 2.57

---

[5]
Here is an optimized crystal structure of YErGa2I2 from the Open Quantum Materials Database. Energies are from PBE.

Properties
* total magnetization: 0.01 μB per formula unit
* final energy: -26.323 eV for the cell shown
* crystal system: trigonal

abc: 4.1890 4.1890 12.1516
angles: 90.00 90.00 120.00
Closest atoms and distances in Å follow each position.
Fractional positions:
Er 0.0000 0.0000 0.3350  3 Ga 2.92, 3 I 3.13
Ga 0.6667 0.3333 0.4700  3 Ga 2.51
Ga 0.3333 0.6667 0.5267  3 Ga 2.51
I 0.3333 0.6667 0.1717  3 Er 3.13
I 0.6667 0.3333 0.8307  3 Y 3.14
Y 0.0000 0.0000 0.6659  3 Ga 2.95, 3 I 3.14

---

[6]
Here is an optimized crystal structure of LuScAl from the Open Quantum Materials Database. Energies are from PBE.

Properties
* total magnetization: 0.31 μB per formula unit
* energy above the lowest structure with this stoichiometry: 0 meV/atom
* crystal system: cubic

abc: 4.8488 4.8488 4.8488
angles: 60.00 60.00 60.00
Closest atoms and distances in Å follow each position.
Fractional positions:
Al 0.0000 0.0000 0.0000  4 Lu 2.97, 4 Sc 2.97
Lu 0.2500 0.2500 0.2500  4 Al 2.97
Sc 0.7500 0.7500 0.7500  4 Al 2.97